4
Lattice="4.363 0.000 0.000 0.000 4.363 0.000 0.000 0.000 5.578" Properties=species:S:1:pos:R:3 comment="AlSb2Te (GGA-PBE, relaxed)" n_ef_per_ev_atom=0.480 de_polymorph_mev_per_atom=359 magnetic_moment_mub_per_cell=0.00 formation_energy_uncorrected_ev_per_atom=0.2722 pbc="T T T"
Al 0.000 0.000 0.000
Sb 0.000 2.181 2.789
Sb 2.181 0.000 2.789
Te 2.181 2.181 0.000



24
Lattice="14.262 0.000 0.000 -7.131 12.352 0.000 0.000 0.000 9.509" Properties=species:S:1:pos:R:3 comment="K8Rb3Ag (GGA-PBE, relaxed)" n_ef_per_ev_atom=0.608 magnetic_moment_mub_per_cell=0.00 formation_enthalpy_0k_ev_per_atom=0.03 pbc="T T T"
K 0.000 0.000 2.476
K 0.000 0.000 7.231
K -3.119 6.434 2.710
K 0.000 5.406 0.000
K -2.449 9.648 0.000
K 0.000 8.234 5.781
K 4.682 2.703 4.755
K 3.119 6.434 2.710
K 0.000 11.836 2.710
K 7.131 0.516 7.464
K 4.012 5.918 7.464
K 2.449 9.648 0.000
K 7.131 4.117 1.026
K 9.580 2.703 4.755
K 7.131 6.945 4.755
K 10.250 5.918 7.464
Rb 0.000 3.852 4.861
Rb -3.795 10.426 4.861
Rb 3.336 1.926 0.106
Rb 3.795 10.426 4.861
Rb 10.926 1.926 0.106
Rb 7.131 8.500 0.106
Ag 0.000 8.234 2.282
Ag 7.131 4.117 7.036



12
Lattice="2.539 1.466 7.821 -2.539 1.466 7.821 0.000 -2.932 7.821" Properties=species:S:1:pos:R:3 comment="ErZr2Mn9 (GGA-PBE, relaxed)" n_ef_per_ev_atom=1.035 magnetic_moment_mub_per_cell=4.15 formation_enthalpy_0k_ev_per_atom=-0.09 pbc="T T T"
Er 0.000 0.000 0.000
Zr 0.000 0.000 3.354
Zr 0.000 0.000 20.109
Mn -1.276 -0.737 9.800
Mn 0.000 0.000 7.812
Mn 0.000 -1.474 13.663
Mn -1.276 0.737 13.663
Mn 0.000 0.000 11.731
Mn 1.276 -0.737 9.800
Mn 0.000 1.474 9.800
Mn 0.000 0.000 15.651
Mn 1.276 0.737 13.663